No. 1
Entry from Alexandria via LeMat-Bulk: crystalline La4PmTm3Se8 at its relaxed geometry (GGA-PBE).

a b c (Å): 8.302 8.453 8.303
angles (deg): 119.41 120.00 90.00
Element x y z (fractional)
Se 0.265 0.270 0.017
Se 0.258 0.275 0.517
Pm 0.000 0.500 0.000
Se 0.752 0.270 0.017
La 0.500 0.000 0.000
La 0.000 0.000 0.500
Tm 0.500 0.500 0.000
Se 0.735 0.730 0.983
Tm 0.500 0.500 0.500
La 0.500 0.000 0.500
Se 0.753 0.270 0.505
Tm 0.000 0.500 0.500
Se 0.248 0.730 0.983
Se 0.247 0.730 0.495
Se 0.742 0.725 0.483
La 0.000 0.000 0.000

Calculated values
The volume comes out at 26.0 Å³ per atom. As for the uncorrected formation energy: -1.8552 eV per atom. The space group is R-3m (166).

No. 2
Entry from Alexandria via LeMat-Bulk: crystalline La3Pm3TmSe8 at its relaxed geometry (GGA-PBE).

a b c (Å): 8.424 8.424 8.504
angles (deg): 119.69 90.00 120.00
Element x y z (fractional)
Se 0.754 0.995 0.737
Pm 0.500 0.000 0.500
Pm 0.000 0.500 0.500
Pm 0.500 0.500 0.500
Se 0.747 0.495 0.743
Se 0.241 0.483 0.737
Se 0.253 0.505 0.257
La 0.000 0.000 0.000
La 0.500 0.500 0.000
Se 0.241 0.995 0.737
La 0.000 0.500 0.000
Se 0.246 0.005 0.263
Tm 0.000 0.000 0.500
Se 0.759 0.517 0.263
Se 0.759 0.005 0.263

Calculated values
The volume comes out at 28.6 Å³ per atom. As for the uncorrected formation energy: -1.9324 eV per atom. The space group is R-3m (166).

No. 3
Entry from Alexandria via LeMat-Bulk: crystalline La3PmTm3Se8 at its relaxed geometry (GGA-PBE).

a b c (Å): 8.241 8.242 8.380
angles (deg): 119.47 90.00 120.00
Element x y z (fractional)
Se 0.742 0.485 0.727
Tm 0.500 0.500 0.500
Se 0.254 0.984 0.738
Tm 0.500 0.000 0.500
La 0.000 0.000 0.000
Se 0.730 0.984 0.738
Tm 0.000 0.500 0.500
Se 0.746 0.492 0.262
Se 0.270 0.016 0.262
La 0.500 0.500 0.000
Se 0.254 0.508 0.738
Se 0.746 0.016 0.262
Pm 0.000 0.000 0.500
Se 0.258 0.515 0.273
La 0.000 0.500 0.000

Calculated values
The volume comes out at 27.0 Å³ per atom. As for the uncorrected formation energy: -1.8900 eV per atom. The space group is R-3m (166).

No. 4
Entry from Alexandria via LeMat-Bulk: crystalline La2PmTmSe6 at its relaxed geometry (GGA-PBE).

a b c (Å): 7.469 7.469 7.822
angles (deg): 61.47 61.47 60.00
Element x y z (fractional)
Se 0.112 0.432 0.761
Pm 0.816 0.816 0.553
Se 0.202 0.944 0.255
Tm 0.318 0.318 0.045
La 0.021 0.021 0.938
Se 0.945 0.598 0.255
Se 0.432 0.696 0.761
Se 0.598 0.202 0.255
Se 0.696 0.112 0.761
La 0.523 0.523 0.432

Calculated values
The volume comes out at 31.5 Å³ per atom. As for the uncorrected formation energy: -1.9095 eV per atom. The space group is R3 (146).

No. 5
Entry from Alexandria via LeMat-Bulk: crystalline La2PmTmSe4 at its relaxed geometry (GGA-PBE).

a b c (Å): 4.153 7.280 7.377
angles (deg): 108.78 90.00 90.00
Element x y z (fractional)
La 0.500 0.000 0.500
Se 0.500 0.235 0.230
Se 0.000 0.754 0.236
Pm 0.500 0.500 0.000
Se 0.000 0.246 0.764
La 0.000 0.500 0.500
Se 0.500 0.765 0.770
Tm 0.000 0.000 0.000

Calculated values
The volume comes out at 26.4 Å³ per atom. As for the uncorrected formation energy: -1.8751 eV per atom. The space group is P2/m (10).

No. 6
Entry from Alexandria via LeMat-Bulk: crystalline LaPm2YSe4 at its relaxed geometry (GGA-PBE).

a b c (Å): 4.158 7.261 7.342
angles (deg): 71.03 90.00 90.00
Element x y z (fractional)
Se 0.000 0.248 0.259
Y 0.000 0.500 0.500
Se 0.500 0.745 0.260
Pm 0.500 0.000 0.500
Pm 0.000 0.000 0.000
Se 0.000 0.752 0.741
La 0.500 0.500 0.000
Se 0.500 0.255 0.740

Calculated values
The volume comes out at 26.2 Å³ per atom. As for the uncorrected formation energy: -1.8530 eV per atom. The space group is P2/m (10).

No. 7
Entry from Alexandria via LeMat-Bulk: crystalline La3Pm2YSe6 at its relaxed geometry (GGA-PBE).

a b c (Å): 7.334 7.334 7.350
angles (deg): 99.57 99.57 120.15
Element x y z (fractional)
Se 0.921 0.594 0.762
Se 0.406 0.079 0.238
Se 0.079 0.406 0.238
Se 0.247 0.247 0.759
Y 0.000 0.000 0.000
Pm 0.333 0.667 0.000
La 0.830 0.170 0.500
La 0.170 0.830 0.500
Se 0.753 0.753 0.241
Pm 0.667 0.333 0.000
Se 0.594 0.921 0.762
La 0.500 0.500 0.500

Calculated values
The volume comes out at 26.9 Å³ per atom. As for the uncorrected formation energy: -1.9128 eV per atom. The space group is C2/m (12).

No. 8
Entry from Alexandria via LeMat-Bulk: crystalline LaPmYSe3 at its relaxed geometry (GGA-PBE).

a b c (Å): 4.102 7.280 10.908
angles (deg): 102.80 90.00 90.00
Element x y z (fractional)
Se 0.250 0.451 0.831
Se 0.750 0.054 0.160
Y 0.250 0.122 0.630
Se 0.250 0.946 0.840
Se 0.750 0.549 0.169
Se 0.750 0.275 0.501
Pm 0.750 0.236 0.943
Pm 0.250 0.764 0.057
Se 0.250 0.725 0.499
La 0.250 0.341 0.305
Y 0.750 0.878 0.370
La 0.750 0.659 0.695

Calculated values
The volume comes out at 26.5 Å³ per atom. As for the uncorrected formation energy: -1.8299 eV per atom. The space group is P2_1/m (11).

No. 9
Entry from Alexandria via LeMat-Bulk: crystalline LaPm3Y3Se8 at its relaxed geometry (GGA-PBE).

a b c (Å): 8.273 8.273 8.291
angles (deg): 119.93 90.00 120.00
Element x y z (fractional)
Y 0.500 0.000 0.500
Pm 0.500 0.500 0.000
Se 0.734 0.994 0.753
Se 0.747 0.494 0.741
Se 0.741 0.482 0.247
Y 0.000 0.500 0.500
Se 0.259 0.518 0.753
La 0.000 0.000 0.500
Se 0.741 0.006 0.247
Se 0.259 0.994 0.753
Se 0.266 0.006 0.247
Y 0.500 0.500 0.500
Pm 0.000 0.500 0.000
Se 0.253 0.506 0.259
Pm 0.000 0.000 0.000

Calculated values
The volume comes out at 26.8 Å³ per atom. As for the uncorrected formation energy: -1.8663 eV per atom. The space group is R-3m (166).

No. 10
Entry from Alexandria via LeMat-Bulk: crystalline La2PmY3Se6 at its relaxed geometry (GGA-PBE).

a b c (Å): 4.142 8.448 9.376
angles (deg): 104.08 102.76 90.00
Element x y z (fractional)
Y 0.833 0.166 0.665
Y 0.167 0.834 0.335
Se 0.995 0.255 0.991
Se 0.663 0.593 0.326
Se 0.668 0.072 0.337
Y 0.500 0.500 0.000
La 0.834 0.668 0.668
Se 0.337 0.407 0.674
Se 0.332 0.928 0.663
La 0.166 0.332 0.332
Pm 0.500 0.000 0.000
Se 0.005 0.745 0.009

Calculated values
The volume comes out at 25.8 Å³ per atom. As for the uncorrected formation energy: -1.8599 eV per atom. The space group is C2/m (12).

No. 11
Entry from Alexandria via LeMat-Bulk: crystalline La4PmY3Se8 at its relaxed geometry (GGA-PBE).

a b c (Å): 8.401 8.455 8.401
angles (deg): 119.79 120.00 90.00
Element x y z (fractional)
La 0.000 0.000 0.500
Y 0.500 0.500 0.500
Se 0.753 0.265 0.505
La 0.500 0.000 0.500
Se 0.740 0.735 0.988
Se 0.247 0.735 0.495
Se 0.247 0.735 0.988
La 0.500 0.000 0.000
Y 0.000 0.500 0.500
La 0.000 0.000 0.000
Se 0.256 0.268 0.512
Pm 0.000 0.500 0.000
Se 0.753 0.265 0.012
Y 0.500 0.500 0.000
Se 0.260 0.265 0.012
Se 0.744 0.732 0.488

Calculated values
The volume comes out at 26.5 Å³ per atom. As for the uncorrected formation energy: -1.8935 eV per atom. The space group is R-3m (166).

No. 12
Entry from Alexandria via LeMat-Bulk: crystalline LaPm2Y3Se6 at its relaxed geometry (GGA-PBE).

a b c (Å): 4.131 8.397 9.328
angles (deg): 103.92 102.79 90.00
Element x y z (fractional)
Pm 0.168 0.335 0.335
Y 0.166 0.833 0.332
Se 0.664 0.589 0.328
La 0.500 0.000 0.000
Se 0.329 0.921 0.658
Pm 0.832 0.665 0.665
Y 0.834 0.167 0.668
Y 0.500 0.500 0.000
Se 0.671 0.079 0.342
Se 0.336 0.411 0.672
Se 0.999 0.261 0.997
Se 0.001 0.739 0.003

Calculated values
The volume comes out at 25.5 Å³ per atom. As for the uncorrected formation energy: -1.8310 eV per atom. The space group is C2/m (12).

| no. | E_tot (eV per atom) |
| --- | --- |
| 1 | -5.965 |
| 2 | -6.025 |
| 3 | -5.945 |
| 4 | -5.908 |
| 5 | -6.002 |
| 6 | -6.207 |
| 7 | -6.217 |
| 8 | -6.263 |
| 9 | -6.296 |
| 10 | -6.435 |
| 11 | -6.377 |
| 12 | -6.392 |